# 1
Entry from OQMD: crystalline NaNdHf at its relaxed geometry (PBE).

```
data_NaNdHf
_chemical_formula_sum 'Na4 Nd4 Hf4'
_space_group_name_H-M_alt 'F -4 3 m'
_space_group_IT_number 216
_space_group_name_Hall 'F -4 2 3'
_cell_length_a 7.353
_cell_length_b 7.353
_cell_length_c 7.353
_cell_angle_alpha 90.00
_cell_angle_beta 90.00
_cell_angle_gamma 90.00
loop_
_atom_site_label
_atom_site_type_symbol
_atom_site_fract_x
_atom_site_fract_y
_atom_site_fract_z
Na1 Na 0.000 0.000 0.000
Nd1 Nd 0.000 0.000 0.500
Hf1 Hf 0.250 0.250 0.250
```

Output
Total energy, Ry/atom: -0.29852
Magnetization, μB/f.u.: 1.437

---

# 2
Entry from OQMD: crystalline HoTm2Bi3 at its relaxed geometry (PBE).

```
data_HoTm2Bi3
_chemical_formula_sum 'Ho1 Tm2 Bi3'
_space_group_name_H-M_alt 'P -3 m 1'
_space_group_IT_number 164
_space_group_name_Hall '-P 3 2"'
_cell_length_a 4.4299
_cell_length_b 4.4299
_cell_length_c 10.8741
_cell_angle_alpha 90.00
_cell_angle_beta 90.00
_cell_angle_gamma 120.00
loop_
_atom_site_label
_atom_site_type_symbol
_atom_site_fract_x
_atom_site_fract_y
_atom_site_fract_z
Ho1 Ho 0.0000 0.0000 0.0000
Tm1 Tm 0.3333 0.6667 0.3334
Bi1 Bi 0.0000 0.0000 0.5000
Bi2 Bi 0.3333 0.6667 0.8320
```

Output
Total energy, Ry/atom: -0.37454
Magnetization, μB/f.u.: 0.002